# YMg | the Alexandria database | PBE | optimized geometry
# Crystal system: orthorhombic
# D(E_F) in states/eV/cell: 10.84
# Total magnetic moment in μB per atom: 0.145
# Uncorrected energy in eV for the cell shown: -32.61
data_YMg
_symmetry_space_group_name_H-M 'I m m a'
_symmetry_Int_Tables_number 74
_symmetry_space_group_name_Hall '-I 2b 2'
_cell_length_a 3.6849
_cell_length_b 5.4660
_cell_length_c 10.9943
_cell_angle_alpha 90.00
_cell_angle_beta 90.00
_cell_angle_gamma 90.00
loop_
_atom_site_label
_atom_site_fract_x
_atom_site_fract_y
_atom_site_fract_z
Y1 0.0000 0.2500 0.1137
Mg1 0.0000 0.2500 0.6430



# YMg8 | the Alexandria database | PBE | optimized geometry
# Crystal system: tetragonal
# D(E_F) in states/eV/cell: 9.49
# Total magnetic moment in μB per atom: 0.000
# Uncorrected energy in eV for the cell shown: -39.09
data_YMg8
_symmetry_space_group_name_H-M 'I 4/m m m'
_symmetry_Int_Tables_number 139
_symmetry_space_group_name_Hall '-I 4 2'
_cell_length_a 9.5489
_cell_length_b 9.5489
_cell_length_c 4.7367
_cell_angle_alpha 90.00
_cell_angle_beta 90.00
_cell_angle_gamma 90.00
loop_
_atom_site_label
_atom_site_fract_x
_atom_site_fract_y
_atom_site_fract_z
Y1 0.0000 0.0000 0.0000
Mg1 0.0000 0.3388 0.0000
Mg2 0.1711 0.1711 0.5000



# YMg6 | the Alexandria database | PBE | optimized geometry
# Crystal system: orthorhombic
# D(E_F) in states/eV/cell: 16.37
# Total magnetic moment in μB per atom: 0.000
# Energy above the lowest structure with this stoichiometry in eV per atom: 0.000
data_YMg6
_symmetry_space_group_name_H-M 'P n m a'
_symmetry_Int_Tables_number 62
_symmetry_space_group_name_Hall '-P 2ac 2n'
_cell_length_a 9.4710
_cell_length_b 5.9538
_cell_length_c 12.1626
_cell_angle_alpha 90.00
_cell_angle_beta 90.00
_cell_angle_gamma 90.00
loop_
_atom_site_label
_atom_site_fract_x
_atom_site_fract_y
_atom_site_fract_z
Y1 0.2464 0.2500 0.0666
Mg1 0.0545 0.7500 0.0840
Mg2 0.0632 0.0108 0.3074
Mg3 0.0951 0.2500 0.5184
Mg4 0.1423 0.7500 0.8504
Mg5 0.1925 0.2500 0.7515



# YMg | the Alexandria database | PBE | optimized geometry
# Crystal system: hexagonal
# D(E_F) in states/eV/cell: 9.37
# Total magnetic moment in μB per atom: 0.000
# Uncorrected energy in eV for the cell shown: -31.32
data_YMg
_symmetry_space_group_name_H-M 'P 63/m m c'
_symmetry_Int_Tables_number 194
_symmetry_space_group_name_Hall '-P 6c 2c'
_cell_length_a 5.1145
_cell_length_b 5.1145
_cell_length_c 10.2829
_cell_angle_alpha 90.00
_cell_angle_beta 90.00
_cell_angle_gamma 120.00
loop_
_atom_site_label
_atom_site_fract_x
_atom_site_fract_y
_atom_site_fract_z
Y1 0.3333 0.6667 0.0899
Mg1 0.0000 0.0000 0.2500
Mg2 0.3333 0.6667 0.7500



# YMg | the Alexandria database | PBE | optimized geometry
# Crystal system: trigonal
# D(E_F) in states/eV/cell: 5.37
# Total magnetic moment in μB per atom: 0.101
# Uncorrected energy in eV for the cell shown: -15.96
data_YMg
_symmetry_space_group_name_H-M 'P -3 m 1'
_symmetry_Int_Tables_number 164
_symmetry_space_group_name_Hall '-P 3 2"'
_cell_length_a 3.4512
_cell_length_b 3.4512
_cell_length_c 11.0894
_cell_angle_alpha 90.00
_cell_angle_beta 90.00
_cell_angle_gamma 120.00
loop_
_atom_site_label
_atom_site_fract_x
_atom_site_fract_y
_atom_site_fract_z
Y1 0.3333 0.6667 0.3681
Mg1 0.3333 0.6667 0.8843



# Y3Mg | the Alexandria database | PBE | optimized geometry
# Crystal system: orthorhombic
# D(E_F) in states/eV/cell: 7.11
# Total magnetic moment in μB per atom: 0.099
# Uncorrected energy in eV for the cell shown: -20.85
data_Y3Mg
_symmetry_space_group_name_H-M 'P m m 2'
_symmetry_Int_Tables_number 25
_symmetry_space_group_name_Hall 'P 2 -2'
_cell_length_a 3.6034
_cell_length_b 5.6053
_cell_length_c 6.0206
_cell_angle_alpha 90.00
_cell_angle_beta 90.00
_cell_angle_gamma 90.00
loop_
_atom_site_label
_atom_site_fract_x
_atom_site_fract_y
_atom_site_fract_z
Y1 0.0000 0.0000 0.0000
Y2 0.0000 0.5000 0.3546
Y3 0.5000 0.5000 0.8506
Mg1 0.5000 0.0000 0.5102



Copy entry 5 word for word.
# YMg | the Alexandria database | PBE | optimized geometry
# Crystal system: trigonal
# D(E_F) in states/eV/cell: 5.37
# Total magnetic moment in μB per atom: 0.101
# Uncorrected energy in eV for the cell shown: -15.96
data_YMg
_symmetry_space_group_name_H-M 'P -3 m 1'
_symmetry_Int_Tables_number 164
_symmetry_space_group_name_Hall '-P 3 2"'
_cell_length_a 3.4512
_cell_length_b 3.4512
_cell_length_c 11.0894
_cell_angle_alpha 90.00
_cell_angle_beta 90.00
_cell_angle_gamma 120.00
loop_
_atom_site_label
_atom_site_fract_x
_atom_site_fract_y
_atom_site_fract_z
Y1 0.3333 0.6667 0.3681
Mg1 0.3333 0.6667 0.8843



Copy entry 5 word for word.
# YMg | the Alexandria database | PBE | optimized geometry
# Crystal system: trigonal
# D(E_F) in states/eV/cell: 5.37
# Total magnetic moment in μB per atom: 0.101
# Uncorrected energy in eV for the cell shown: -15.96
data_YMg
_symmetry_space_group_name_H-M 'P -3 m 1'
_symmetry_Int_Tables_number 164
_symmetry_space_group_name_Hall '-P 3 2"'
_cell_length_a 3.4512
_cell_length_b 3.4512
_cell_length_c 11.0894
_cell_angle_alpha 90.00
_cell_angle_beta 90.00
_cell_angle_gamma 120.00
loop_
_atom_site_label
_atom_site_fract_x
_atom_site_fract_y
_atom_site_fract_z
Y1 0.3333 0.6667 0.3681
Mg1 0.3333 0.6667 0.8843